i:
Compound: HfSbI2Cl
Source: Alexandria via LeMat-Bulk
Functional: PBE-GGA
Structure: optimized geometry

Cell lengths 5.742, 5.742, 5.136 Å; angles 90.00, 90.00, 90.00 degrees
Space group P4/mmm (No. 123)
Unique sites:
Hf (0.000, 0.000, 0.000) [1 per cell]
Sb (0.500, 0.500, 0.000) [1 per cell]
I (0.000, 0.500, 0.500) [2 per cell]
Cl (0.500, 0.500, 0.500) [1 per cell]

Properties
As for the density of states at the Fermi level: 6.3 states/eV/f.u. Its mass density is 5.78 g cm⁻³.

=====

ii:
Compound: HfSbI2Cl
Source: Alexandria via LeMat-Bulk
Functional: PBE-GGA
Structure: optimized geometry

Cell lengths 5.543, 5.543, 5.721 Å; angles 90.00, 90.00, 90.00 degrees
Space group P4/mmm (No. 123)
Unique sites:
Hf (0.000, 0.000, 0.000) [1 per cell]
Sb (0.000, 0.000, 0.500) [1 per cell]
I (0.000, 0.500, 0.000) [2 per cell]
Cl (0.500, 0.500, 0.500) [1 per cell]

Properties
As for the density of states at the Fermi level: 3.4 states/eV/f.u. Its mass density is 5.57 g cm⁻³.

=====

Stability, highest: ii

=====

i:
Compound: HfTe2ICl
Source: Alexandria via LeMat-Bulk
Functional: PBE-GGA
Structure: optimized geometry

Cell lengths 5.454, 5.454, 5.220 Å; angles 90.00, 90.00, 90.00 degrees
Space group P4/mmm (No. 123)
Unique sites:
Hf (0.000, 0.000, 0.000) [1 per cell]
Te (0.000, 0.500, 0.500) [2 per cell]
I (0.500, 0.500, 0.000) [1 per cell]
Cl (0.500, 0.500, 0.500) [1 per cell]

Properties
As for the density of states at the Fermi level: 4.5 states/eV/f.u. Its mass density is 6.37 g cm⁻³.

=====

ii:
Compound: HfTe2ICl
Source: Alexandria via LeMat-Bulk
Functional: PBE-GGA
Structure: optimized geometry

Cell lengths 5.551, 5.551, 5.623 Å; angles 90.00, 90.00, 90.00 degrees
Space group P4/mmm (No. 123)
Unique sites:
Hf (0.000, 0.000, 0.000) [1 per cell]
Te (0.000, 0.500, 0.000) [2 per cell]
I (0.000, 0.000, 0.500) [1 per cell]
Cl (0.500, 0.500, 0.500) [1 per cell]

Properties
As for the density of states at the Fermi level: 7.8 states/eV/f.u. Its mass density is 5.71 g cm⁻³.

=====

Stability, highest: ii